(1)
Material: LiTaSi2
Method: DFT, PBE
State: optimized geometry

a = 6.677 Å, b = 6.677 Å, c = 5.412 Å
α = 90.00°, β = 90.00°, γ = 90.00°
Space group I-42d (No. 122)
Unique sites:
Li 0.000 0.000 0.000 (multiplicity 4)
Ta 0.000 0.000 0.500 (multiplicity 4)
Si 0.221 0.250 0.125 (multiplicity 8)

Output
Final energy ... -5.91 eV/atom
V ... 60 Å³/f.u.
Formation energy (no corrections) ... 247.0 meV per atom
Excess energy over the best structure of this formula in the dataset ... 482 meV/atom
Calculated density ... 6.7 g/cm3

***

(2)
Material: LiAc2US6
Method: DFT, PBE
State: optimized geometry

a = 7.1626 Å, b = 7.1626 Å, c = 17.3565 Å
α = 90.00°, β = 90.00°, γ = 120.00°
Space group R3 (No. 146, hexagonal axes)
Unique sites:
Li 0.0000 0.0000 0.0000 (multiplicity 3)
Ac 0.0000 0.0000 0.2697 (multiplicity 3)
Ac 0.0000 0.0000 0.7777 (multiplicity 3)
U 0.0000 0.0000 0.4950 (multiplicity 3)
S 0.0782 0.7276 0.0712 (multiplicity 9)
S 0.0795 0.3423 0.5735 (multiplicity 9)

Output
Final energy ... -6.35 eV/atom
V ... 257 Å³/f.u.
Formation energy (no corrections) ... -1732.6 meV per atom
Calculated density ... 5.8 g/cm3

***

(3)
Material: FeAg2Mo
Method: DFT, PBE
State: optimized geometry

a = 2.708 Å, b = 2.708 Å, c = 8.629 Å
α = 90.00°, β = 90.00°, γ = 90.00°
Space group P4/mmm (No. 123)
Unique sites:
Fe 0.000 0.000 0.000 (multiplicity 1)
Ag 0.500 0.500 0.237 (multiplicity 2)
Mo 0.000 0.000 0.500 (multiplicity 1)

Output
Final energy ... -5.76 eV/atom
V ... 63 Å³/f.u.
Excess energy over the best structure of this formula in the dataset ... 190 meV/atom
Energy relative to the elements ... 493 meV per atom
Calculated density ... 9.6 g/cm3

***

(4)
Material: CaTePb2
Method: DFT, PBE
State: optimized geometry

a = 4.541 Å, b = 4.541 Å, c = 6.263 Å
α = 90.00°, β = 90.00°, γ = 90.00°
Space group P4/mmm (No. 123)
Unique sites:
Ca 0.000 0.000 0.000 (multiplicity 1)
Te 0.000 0.000 0.500 (multiplicity 1)
Pb 0.500 0.500 0.250 (multiplicity 2)

Output
Final energy ... -3.46 eV/atom
V ... 129 Å³/f.u.
Formation energy (no corrections) ... -319.6 meV per atom
Excess energy over the best structure of this formula in the dataset ... 245 meV/atom
Calculated density ... 7.5 g/cm3

***

(5)
Material: CdCo3Ni
Method: DFT, PBE
State: optimized geometry

a = 4.314 Å, b = 4.314 Å, c = 4.314 Å
α = 90.00°, β = 90.00°, γ = 90.00°
Space group Pm-3m (No. 221)
Unique sites:
Cd 0.000 0.000 0.000 (multiplicity 1)
Co 0.000 0.500 0.500 (multiplicity 3)
Ni 0.500 0.500 0.500 (multiplicity 1)

Output
Final energy ... -4.67 eV/atom
V ... 80 Å³/f.u.
Excess energy over the best structure of this formula in the dataset ... 0 meV/atom
Energy relative to the elements ... 937 meV per atom
Calculated density ... 7.2 g/cm3

***

(6)
Material: SrLi3Cd
Method: DFT, PBE
State: optimized geometry

a = 5.223 Å, b = 5.223 Å, c = 5.223 Å
α = 90.00°, β = 90.00°, γ = 90.00°
Space group Pm-3m (No. 221)
Unique sites:
Sr 0.000 0.000 0.000 (multiplicity 1)
Li 0.000 0.500 0.500 (multiplicity 3)
Cd 0.500 0.500 0.500 (multiplicity 1)

Output
Final energy ... -1.68 eV/atom
V ... 142 Å³/f.u.
Excess energy over the best structure of this formula in the dataset ... 96 meV/atom
Energy relative to the elements ... -13 meV per atom
Calculated density ... 2.6 g/cm3

***

(7)
Material: LiSm6Hg2
Method: DFT, PBE
State: optimized geometry

a = 16.366 Å, b = 7.483 Å, c = 5.071 Å
α = 90.00°, β = 107.84°, γ = 90.00°
Space group C2/m (No. 12)
Unique sites:
Li 0.000 0.000 0.000 (multiplicity 2)
Sm 0.000 0.255 0.500 (multiplicity 4)
Sm 0.166 0.249 0.166 (multiplicity 8)
Hg 0.167 0.500 0.667 (multiplicity 4)

Output
Final energy ... -3.33 eV/atom
V ... 296 Å³/f.u.
Energy relative to the elements ... 94 meV per atom
Calculated density ... 7.4 g/cm3

***

(8)
Material: SrLa2CdH
Method: DFT, PBE
State: optimized geometry

a = 5.167 Å, b = 5.167 Å, c = 5.179 Å
α = 90.00°, β = 90.00°, γ = 90.00°
Space group P4/mmm (No. 123)
Unique sites:
Sr 0.000 0.000 0.000 (multiplicity 1)
La 0.000 0.500 0.500 (multiplicity 2)
Cd 0.500 0.500 0.000 (multiplicity 1)
H 0.500 0.500 0.500 (multiplicity 1)

Output
Final energy ... -3.28 eV/atom
V ... 138 Å³/f.u.
Excess energy over the best structure of this formula in the dataset ... 61 meV/atom
Calculated density ... 5.8 g/cm3

***

(9)
Material: Rb2VCoW
Method: DFT, PBE
State: optimized geometry

a = 6.690 Å, b = 6.690 Å, c = 4.327 Å
α = 90.00°, β = 90.00°, γ = 90.00°
Space group P4/mmm (No. 123)
Unique sites:
Rb 0.000 0.500 0.000 (multiplicity 2)
V 0.000 0.000 0.500 (multiplicity 1)
Co 0.000 0.000 0.000 (multiplicity 1)
W 0.500 0.500 0.500 (multiplicity 1)

Output
Final energy ... -4.05 eV/atom
V ... 194 Å³/f.u.
Energy relative to the elements ... 2169 meV per atom
Calculated density ... 4.0 g/cm3

***

(10)
Material: Rb2BePd
Method: DFT, PBE
State: optimized geometry

a = 4.793 Å, b = 4.793 Å, c = 22.336 Å
α = 90.00°, β = 90.00°, γ = 90.00°
Space group I-42d (No. 122)
Unique sites:
Rb 0.245 0.250 0.125 (multiplicity 8)
Be 0.000 0.000 0.500 (multiplicity 4)
Pd 0.000 0.000 0.000 (multiplicity 4)

Output
Final energy ... -1.71 eV/atom
V ... 128 Å³/f.u.
Energy relative to the elements ... 1002 meV per atom
Calculated density ... 3.7 g/cm3

***

(11)
Material: Sm2MgPd9
Method: DFT, PBE
State: optimized geometry

a = 4.146 Å, b = 4.146 Å, c = 12.102 Å
α = 90.00°, β = 90.00°, γ = 90.00°
Space group P4/mmm (No. 123)
Unique sites:
Sm 0.000 0.000 0.175 (multiplicity 2)
Mg 0.000 0.000 0.500 (multiplicity 1)
Pd 0.000 0.500 0.000 (multiplicity 2)
Pd 0.000 0.500 0.346 (multiplicity 4)
Pd 0.500 0.500 0.172 (multiplicity 2)
Pd 0.500 0.500 0.500 (multiplicity 1)

Output
Final energy ... -5.50 eV/atom
V ... 208 Å³/f.u.
Energy relative to the elements ... -686 meV per atom
Calculated density ... 10.2 g/cm3

***

(12)
Material: Tb6Te5S
Method: DFT, PBE
State: optimized geometry

a = 7.493 Å, b = 12.953 Å, c = 7.427 Å
α = 90.00°, β = 109.31°, γ = 90.00°
Space group C2/m (No. 12)
Unique sites:
Tb 0.212 0.000 0.267 (multiplicity 4)
Tb 0.218 0.147 0.721 (multiplicity 8)
Te 0.000 0.179 0.000 (multiplicity 4)
Te 0.000 0.336 0.500 (multiplicity 4)
Te 0.000 0.500 0.000 (multiplicity 2)
S 0.000 0.000 0.500 (multiplicity 2)

Output
Final energy ... -5.42 eV/atom
V ... 340 Å³/f.u.
Formation energy (no corrections) ... -1449.3 meV per atom
Calculated density ... 7.9 g/cm3

***

(13)
Material: NaIn3O4
Method: DFT, PBE
State: optimized geometry

a = 5.189 Å, b = 5.189 Å, c = 10.195 Å
α = 90.00°, β = 90.00°, γ = 90.00°
Space group I-42m (No. 121)
Unique sites:
Na 0.000 0.000 0.000 (multiplicity 2)
In 0.000 0.000 0.500 (multiplicity 2)
In 0.000 0.500 0.250 (multiplicity 4)
O 0.233 0.233 0.368 (multiplicity 8)

Output
Final energy ... -4.98 eV/atom
V ... 137 Å³/f.u.
Formation energy (no corrections) ... -1305.8 meV per atom
Calculated density ... 5.2 g/cm3

***

(14)
Material: PrPaPSe
Method: DFT, PBE
State: optimized geometry

a = 4.0050 Å, b = 4.0050 Å, c = 21.8165 Å
α = 90.00°, β = 90.00°, γ = 120.00°
Space group R3m (No. 160, hexagonal axes)
Unique sites:
Pr 0.0000 0.0000 0.0000 (multiplicity 3)
Pa 0.0000 0.0000 0.8155 (multiplicity 3)
P 0.0000 0.0000 0.4120 (multiplicity 3)
Se 0.0000 0.0000 0.2355 (multiplicity 3)

Output
Final energy ... -7.22 eV/atom
V ... 101 Å³/f.u.
Formation energy (no corrections) ... -1430.1 meV per atom
Calculated density ... 7.9 g/cm3

***

(15)
Material: YSc2Hg
Method: DFT, PBE
State: optimized geometry

a = 4.590 Å, b = 4.590 Å, c = 4.616 Å
α = 90.00°, β = 90.00°, γ = 90.00°
Space group P4/mmm (No. 123)
Unique sites:
Y 0.000 0.000 0.000 (multiplicity 1)
Sc 0.000 0.500 0.500 (multiplicity 2)
Hg 0.500 0.500 0.000 (multiplicity 1)

Output
Final energy ... -5.04 eV/atom
V ... 97 Å³/f.u.
Energy relative to the elements ... -184 meV per atom
Calculated density ... 6.5 g/cm3

***

(16)
Material: Y5Si3
Method: DFT, PBE
State: optimized geometry

a = 7.798 Å, b = 10.985 Å, c = 4.620 Å
α = 90.00°, β = 90.00°, γ = 90.00°
Space group Cmmm (No. 65)
Unique sites:
Y 0.000 0.000 0.000 (multiplicity 2)
Y 0.206 0.500 0.500 (multiplicity 4)
Y 0.250 0.250 0.000 (multiplicity 4)
Si 0.000 0.185 0.500 (multiplicity 4)
Si 0.000 0.500 0.000 (multiplicity 2)

Output
Final energy ... -6.58 eV/atom
V ... 198 Å³/f.u.
Formation energy (no corrections) ... -507.7 meV per atom
Excess energy over the best structure of this formula in the dataset ... 214 meV/atom
Calculated density ... 4.4 g/cm3

***

(17)
Material: TlCuSN2
Method: DFT, PBE
State: optimized geometry

a = 4.216 Å, b = 4.216 Å, c = 5.656 Å
α = 90.00°, β = 90.00°, γ = 90.00°
Space group P4/mmm (No. 123)
Unique sites:
Tl 0.000 0.000 0.000 (multiplicity 1)
Cu 0.500 0.500 0.500 (multiplicity 1)
S 0.000 0.000 0.500 (multiplicity 1)
N 0.000 0.500 0.000 (multiplicity 2)

Output
Final energy ... -3.42 eV/atom
V ... 101 Å³/f.u.
Formation energy (no corrections) ... 2030.0 meV per atom
Excess energy over the best structure of this formula in the dataset ... 682 meV/atom
Calculated density ... 5.4 g/cm3

***

(18)
Material: LiCeZnCo
Method: DFT, PBE
State: optimized geometry

a = 6.415 Å, b = 6.415 Å, c = 6.415 Å
α = 90.00°, β = 90.00°, γ = 90.00°
Space group F-43m (No. 216)
Unique sites:
Li 0.000 0.000 0.000 (multiplicity 4)
Ce 0.250 0.250 0.250 (multiplicity 4)
Zn 0.250 0.250 0.750 (multiplicity 4)
Co 0.000 0.000 0.500 (multiplicity 4)

Output
Final energy ... -4.10 eV/atom
V ... 66 Å³/f.u.
Energy relative to the elements ... -47 meV per atom
Calculated density ... 6.8 g/cm3

***

(19)
Material: SrTaTe2I
Method: DFT, PBE
State: optimized geometry

a = 5.499 Å, b = 5.499 Å, c = 5.654 Å
α = 90.00°, β = 90.00°, γ = 90.00°
Space group P4/mmm (No. 123)
Unique sites:
Sr 0.000 0.000 0.000 (multiplicity 1)
Ta 0.500 0.500 0.500 (multiplicity 1)
Te 0.000 0.500 0.500 (multiplicity 2)
I 0.500 0.500 0.000 (multiplicity 1)

Output
Final energy ... -4.63 eV/atom
V ... 171 Å³/f.u.
Formation energy (no corrections) ... -361.3 meV per atom
Excess energy over the best structure of this formula in the dataset ... 0 meV/atom
Calculated density ... 6.3 g/cm3

***

(20)
Material: BaSrLa2Rh
Method: DFT, PBE
State: optimized geometry

a = 5.674 Å, b = 5.674 Å, c = 6.331 Å
α = 90.00°, β = 90.00°, γ = 90.00°
Space group P4/mmm (No. 123)
Unique sites:
Ba 0.000 0.000 0.000 (multiplicity 1)
Sr 0.500 0.500 0.000 (multiplicity 1)
La 0.000 0.500 0.500 (multiplicity 2)
Rh 0.500 0.500 0.500 (multiplicity 1)

Output
Final energy ... -4.41 eV/atom
V ... 204 Å³/f.u.
Excess energy over the best structure of this formula in the dataset ... 0 meV/atom
Energy relative to the elements ... -251 meV per atom
Calculated density ... 4.9 g/cm3

***

(21)
Material: Sm4Ho2Sc3
Method: DFT, PBE
State: optimized geometry

a = 3.5057 Å, b = 3.5057 Å, c = 25.6893 Å
α = 90.00°, β = 90.00°, γ = 120.00°
Space group P3m1 (No. 156)
Unique sites:
Sm 0.0000 0.0000 0.0000 (multiplicity 1)
Sm 0.0000 0.0000 0.2099 (multiplicity 1)
Sm 0.3333 0.6667 0.3311 (multiplicity 1)
Sm 0.3333 0.6667 0.5425 (multiplicity 1)
Ho 0.0000 0.0000 0.6588 (multiplicity 1)
Ho 0.0000 0.0000 0.8633 (multiplicity 1)
Sc 0.0000 0.0000 0.4364 (multiplicity 1)
Sc 0.3333 0.6667 0.1040 (multiplicity 1)
Sc 0.3333 0.6667 0.7617 (multiplicity 1)

Output
Final energy ... -5.15 eV/atom
V ... 273 Å³/f.u.
Excess energy over the best structure of this formula in the dataset ... 24 meV/atom
Energy relative to the elements ... 72 meV per atom
Calculated density ... 6.5 g/cm3

***

(22)
Material: K3NaCd4
Method: DFT, PBE
State: optimized geometry

a = 13.709 Å, b = 6.888 Å, c = 6.600 Å
α = 90.00°, β = 103.07°, γ = 90.00°
Space group C2 (No. 5)
Unique sites:
K 0.000 0.000 0.000 (multiplicity 2)
K 0.176 0.753 0.604 (multiplicity 4)
Na 0.000 0.319 0.500 (multiplicity 2)
Cd 0.106 0.501 0.084 (multiplicity 4)
Cd 0.216 0.251 0.846 (multiplicity 4)

Output
Final energy ... -1.09 eV/atom
V ... 304 Å³/f.u.
Energy relative to the elements ... -57 meV per atom
Calculated density ... 3.2 g/cm3

***

(23)
Material: SrCdRh
Method: DFT, PBE
State: optimized geometry

a = 4.6572 Å, b = 4.6572 Å, c = 4.1520 Å
α = 90.00°, β = 90.00°, γ = 120.00°
Space group P-6m2 (No. 187)
Unique sites:
Sr 0.0000 0.0000 0.0000 (multiplicity 1)
Cd 0.6667 0.3333 0.5000 (multiplicity 1)
Rh 0.3333 0.6667 0.5000 (multiplicity 1)

Output
Final energy ... -3.52 eV/atom
V ... 78 Å³/f.u.
Energy relative to the elements ... -208 meV per atom
Calculated density ... 6.4 g/cm3

***

(24)
Material: Ca3LaB
Method: DFT, PBE
State: optimized geometry

a = 5.888 Å, b = 5.888 Å, c = 5.888 Å
α = 90.00°, β = 90.00°, γ = 90.00°
Space group Pm-3m (No. 221)
Unique sites:
Ca 0.000 0.000 0.500 (multiplicity 3)
La 0.000 0.000 0.000 (multiplicity 1)
B 0.500 0.500 0.500 (multiplicity 1)

Output
Final energy ... -1.70 eV/atom
V ... 204 Å³/f.u.
Excess energy over the best structure of this formula in the dataset ... 1489 meV/atom
Energy relative to the elements ... 1824 meV per atom
Calculated density ... 2.2 g/cm3

***

(25)
Material: Ta2InCo
Method: DFT, PBE
State: optimized geometry

a = 2.942 Å, b = 3.975 Å, c = 5.831 Å
α = 90.00°, β = 95.76°, γ = 90.00°
Space group P2/m (No. 10)
Unique sites:
Ta 0.051 0.000 0.278 (multiplicity 2)
In 0.500 0.500 0.000 (multiplicity 1)
Co 0.500 0.500 0.500 (multiplicity 1)

Output
Final energy ... -8.24 eV/atom
V ... 68 Å³/f.u.
Energy relative to the elements ... 144 meV per atom
Calculated density ... 13.1 g/cm3

***

(26)
Material: NbAlNi6
Method: DFT, PBE
State: optimized geometry

a = 5.1349 Å, b = 5.1349 Å, c = 4.1759 Å
α = 90.00°, β = 90.00°, γ = 120.00°
Space group P-6m2 (No. 187)
Unique sites:
Nb 0.0000 0.0000 0.0000 (multiplicity 1)
Al 0.6667 0.3333 0.5000 (multiplicity 1)
Ni 0.0058 0.5029 0.0000 (multiplicity 3)
Ni 0.1724 0.3447 0.5000 (multiplicity 3)

Output
Final energy ... -6.40 eV/atom
V ... 95 Å³/f.u.
Excess energy over the best structure of this formula in the dataset ... 49 meV/atom
Energy relative to the elements ... -339 meV per atom
Calculated density ... 8.2 g/cm3